Entry 1:
Th2ZrPa PBE-GGA relaxed; relative energy among the computed polymorphs = 29 meV/atom
1.0
3.390 0.000 0.000
-1.695 2.936 0.000
0.000 0.000 33.597
Th Zr Pa
6 3 3
direct
0.000 0.000 0.000
0.000 0.000 0.169
0.333 0.667 0.667
0.333 0.667 0.836
0.667 0.333 0.333
0.667 0.333 0.502
0.000 0.000 0.585
0.333 0.667 0.251
0.667 0.333 0.918
0.000 0.000 0.417
0.333 0.667 0.084
0.667 0.333 0.751


Entry 2:
Mg8In6Ag PBE-GGA relaxed; E_tot = -31.70 eV per cell
1.0
4.183 2.415 6.245
-4.183 2.415 6.245
0.000 -4.830 6.245
Mg In Ag
8 6 1
direct
0.041 0.388 0.723
0.169 0.169 0.169
0.277 0.959 0.612
0.388 0.723 0.041
0.612 0.277 0.959
0.723 0.041 0.388
0.831 0.831 0.831
0.959 0.612 0.277
0.119 0.767 0.438
0.233 0.562 0.881
0.438 0.119 0.767
0.562 0.881 0.233
0.767 0.438 0.119
0.881 0.233 0.562
0.500 0.500 0.500


Computed total moment (μB per formula unit) in order:
0.0, 0.0